1.
InHg5 | SCAN | single point on PBEsol structure

Geometry as POSCAR:
```
InHg5
1.0
4.235 0.000 0.000
0.000 4.875 0.000
0.000 2.438 6.881
Hg In
5 1
direct
0.500 0.331 0.338 Hg
0.000 0.167 0.665 Hg
0.500 0.000 0.000 Hg
0.000 0.833 0.335 Hg
0.500 0.669 0.662 Hg
0.000 0.500 0.000 In
```

## Properties
- calculated volume (A^3/atom) = 23.7
- crystal system = orthorhombic
- energy relative to the elements (eV/atom) = 0.016
- polymorph energy (0 for the lowest one) (meV per atom) = 2
- space group = Cmmm (65)

2.
Si2PtPb | SCAN | single point on PBEsol structure

Geometry as POSCAR:
```
Si2PtPb
1.0
4.043 0.000 0.000
0.000 4.043 0.000
0.000 0.000 4.466
Pb Pt Si
1 1 2
direct
0.500 0.500 0.500 Pb
0.000 0.000 0.500 Pt
0.000 0.500 0.000 Si
0.500 0.000 0.000 Si
```

## Properties
- calculated volume (A^3/atom) = 18.3
- raw formation energy (kJ per mole of atoms) = 56
- crystal system = tetragonal
- space group = P4/mmm (123)

3.
Li2Si2Ir | SCAN | single point on PBEsol structure

Geometry as POSCAR:
```
Li2Si2Ir
1.0
-2.247 2.481 1.199
-4.800 -3.517 -1.716
-0.011 -2.704 5.572
Si Ir Li
4 2 4
direct
0.000 0.365 0.865 Si
0.000 0.865 0.635 Si
0.000 0.635 0.135 Si
0.000 0.135 0.365 Si
0.000 0.000 0.000 Ir
0.000 0.500 0.500 Ir
0.500 0.169 0.669 Li
0.500 0.669 0.831 Li
0.500 0.831 0.331 Li
0.500 0.331 0.169 Li
```

## Properties
- calculated volume (A^3/atom) = 13.6
- raw formation energy (kJ per mole of atoms) = -36
- crystal system = tetragonal
- space group = P4/mbm (127)

4.
BaAsOs2 | SCAN | single point on PBEsol structure

Geometry as POSCAR:
```
BaAsOs2
1.0
2.936 0.000 0.000
0.000 3.720 0.000
0.000 0.000 7.378
As Os Ba
1 2 1
direct
0.000 0.000 0.425 As
0.000 0.000 0.085 Os
0.500 0.500 0.235 Os
0.500 0.500 0.754 Ba
```

## Properties
- calculated volume (A^3/atom) = 20.1
- crystal system = orthorhombic
- energy relative to the elements (eV/atom) = 0.386
- space group = Pmm2 (25)

Question: Which value of calculated volume does entry 4 give?
Answer: 20.1 A^3/atom